# 1
Material: CaHg2W
Method: DFT, GGA-PBEsol
State: relaxed

Offset from the most stable computed form in meV per atom: 0
Final energy in eV per atom: -3.78

Lattice parameters (Å, degrees): 3.079 5.095 5.986 115.19 104.90 90.00
Atoms (fractional coordinates):
Ca1 0.247 0.747 0.494
Hg1 0.009 0.009 0.018
Hg2 0.757 0.257 0.514
W1 0.487 0.487 0.974

***

# 2
Material: CaHg2W
Method: DFT, GGA-PBEsol
State: relaxed

Offset from the most stable computed form in meV per atom: 320
Final energy in eV per atom: -3.46

Lattice parameters (Å, degrees): 4.934 4.934 4.934 60.00 60.00 60.00
Last column: magnetic moment on the atom in μB.
Atoms (fractional coordinates):
Ca1 0.500 0.500 0.500  0.14
Hg1 0.000 0.000 0.000  0.03
Hg2 0.750 0.750 0.750  0.01
W1 0.250 0.250 0.250  2.42

***

# 3
Material: CaHg3W
Method: DFT, GGA-PBEsol
State: relaxed

Final energy in eV per atom: -1.86

Lattice parameters (Å, degrees): 5.473 5.473 5.473 90.00 90.00 90.00
Last column: magnetic moment on the atom in μB.
Atoms (fractional coordinates):
Ca1 0.000 0.000 0.000  -0.04
Hg1 0.000 0.500 0.000  0.01
Hg2 0.000 0.000 0.500  0.01
Hg3 0.500 0.000 0.000  0.01
W1 0.500 0.500 0.500  3.38

***

- The lowest final energy belongs to which entry?
  number 1